A plane-wave DFT calculation with GGA-PBE was carried out for crystalline SrAlO3 at its relaxed geometry.

a b c (Å): 6.7641 5.1380 10.6333
angles (deg): 90.00 117.95 90.00
Sites, in units of the cell vectors:
Sr1 0.2285 0.2112 0.1571
Sr2 0.2285 0.2888 0.6571
Sr3 0.7715 0.7112 0.3429
Sr4 0.7715 0.7888 0.8429
Al1 0.4304 0.7466 0.9960
Al2 0.4304 0.7534 0.4960
Al3 0.5696 0.2466 0.5040
Al4 0.5696 0.2534 0.0040
O1 0.1795 0.7046 0.5110
O2 0.1795 0.7954 0.0110
O3 0.3250 0.0511 0.8832
O4 0.3250 0.4489 0.3832
O5 0.4818 0.5421 0.8762
O6 0.4818 0.9579 0.3762
O7 0.5182 0.0421 0.6238
O8 0.5182 0.4579 0.1238
O9 0.6750 0.5511 0.6168
O10 0.6750 0.9489 0.1168
O11 0.8204 0.2046 0.9890
O12 0.8204 0.2954 0.4890

Output
* crystal system: monoclinic
* uncorrected energy: -0.2406 Ha/atom
* mass density: 3.31 g/cm³

---

A plane-wave DFT calculation with GGA-PBE was carried out for crystalline Sr3Al5O12 at its relaxed geometry.

a b c (Å): 10.8580 10.8580 10.8580
angles (deg): 109.47 109.47 109.47
Sites, in units of the cell vectors:
Sr1 0.1250 0.2500 0.3750
Sr2 0.1250 0.3750 0.7500
Sr3 0.2500 0.3750 0.1250
Sr4 0.2500 0.8750 0.6250
Sr5 0.3750 0.1250 0.2500
Sr6 0.3750 0.7500 0.1250
Sr7 0.6250 0.2500 0.8750
Sr8 0.6250 0.8750 0.7500
Sr9 0.7500 0.1250 0.3750
Sr10 0.7500 0.6250 0.8750
Sr11 0.8750 0.6250 0.2500
Sr12 0.8750 0.7500 0.6250
Al1 0.0000 0.0000 0.0000
Al2 0.0000 0.0000 0.5000
Al3 0.0000 0.5000 0.0000
Al4 0.0000 0.5000 0.5000
Al5 0.1250 0.7500 0.8750
Al6 0.1250 0.8750 0.2500
Al7 0.2500 0.1250 0.8750
Al8 0.2500 0.6250 0.3750
Al9 0.3750 0.2500 0.6250
Al10 0.3750 0.6250 0.7500
Al11 0.5000 0.0000 0.0000
Al12 0.5000 0.0000 0.5000
Al13 0.5000 0.5000 0.0000
Al14 0.5000 0.5000 0.5000
Al15 0.6250 0.3750 0.2500
Al16 0.6250 0.7500 0.3750
Al17 0.7500 0.3750 0.6250
Al18 0.7500 0.8750 0.1250
Al19 0.8750 0.1250 0.7500
Al20 0.8750 0.2500 0.1250
O1 0.0045 0.1865 0.1080
O2 0.0045 0.3180 0.8965
O3 0.0785 0.6865 0.6820
O4 0.0785 0.8920 0.3965
O5 0.1035 0.6080 0.4215
O6 0.1035 0.9955 0.6820
O7 0.1080 0.0045 0.1865
O8 0.1080 0.6035 0.9215
O9 0.1820 0.1865 0.5785
O10 0.1820 0.4955 0.6035
O11 0.1865 0.1080 0.0045
O12 0.1865 0.5785 0.1820
O13 0.3135 0.3180 0.9215
O14 0.3135 0.4955 0.3920
O15 0.3180 0.8965 0.0045
O16 0.3180 0.9215 0.3135
O17 0.3920 0.3135 0.4955
O18 0.3920 0.5785 0.8965
O19 0.3965 0.0785 0.8920
O20 0.3965 0.8180 0.5045
O21 0.4215 0.1035 0.6080
O22 0.4215 0.8180 0.8135
O23 0.4955 0.3920 0.3135
O24 0.4955 0.6035 0.1820
O25 0.5045 0.3965 0.8180
O26 0.5045 0.6080 0.6865
O27 0.5785 0.1820 0.1865
O28 0.5785 0.8965 0.3920
O29 0.6035 0.1820 0.4955
O30 0.6035 0.9215 0.1080
O31 0.6080 0.4215 0.1035
O32 0.6080 0.6865 0.5045
O33 0.6820 0.0785 0.6865
O34 0.6820 0.1035 0.9955
O35 0.6865 0.5045 0.6080
O36 0.6865 0.6820 0.0785
O37 0.8135 0.4215 0.8180
O38 0.8135 0.8920 0.9955
O39 0.8180 0.5045 0.3965
O40 0.8180 0.8135 0.4215
O41 0.8920 0.3965 0.0785
O42 0.8920 0.9955 0.8135
O43 0.8965 0.0045 0.3180
O44 0.8965 0.3920 0.5785
O45 0.9215 0.1080 0.6035
O46 0.9215 0.3135 0.3180
O47 0.9955 0.6820 0.1035
O48 0.9955 0.8135 0.8920

Output
* crystal system: cubic
* uncorrected energy: -0.2493 Ha/atom
* mass density: 3.98 g/cm³

---

A plane-wave DFT calculation with GGA-PBE was carried out for crystalline SrAl2O4 at its relaxed geometry.

a b c (Å): 5.2160 8.9126 8.5384
angles (deg): 90.00 93.55 90.00
Sites, in units of the cell vectors:
Sr1 0.2012 0.0000 0.0275
Sr2 0.2545 0.9932 0.4860
Sr3 0.7455 0.4932 0.5140
Sr4 0.7988 0.5000 0.9725
Al1 0.2032 0.3227 0.3192
Al2 0.2204 0.3225 0.7080
Al3 0.2738 0.6533 0.2003
Al4 0.2859 0.6606 0.8106
Al5 0.7141 0.1606 0.1894
Al6 0.7262 0.1533 0.7997
Al7 0.7796 0.8225 0.2920
Al8 0.7968 0.8227 0.6808
O1 0.0604 0.1949 0.8259
O2 0.0920 0.8243 0.7972
O3 0.1002 0.5066 0.7352
O4 0.1186 0.2759 0.5118
O5 0.3499 0.5010 0.3266
O6 0.3571 0.6066 0.0084
O7 0.4127 0.1762 0.2702
O8 0.4390 0.8201 0.2638
O9 0.5610 0.3201 0.7362
O10 0.5873 0.6762 0.7298
O11 0.6429 0.1066 0.9916
O12 0.6501 0.0010 0.6734
O13 0.8814 0.7759 0.4882
O14 0.8998 0.0066 0.2648
O15 0.9080 0.3243 0.2028
O16 0.9396 0.6949 0.1741

Output
* crystal system: monoclinic
* uncorrected energy: -0.2648 Ha/atom
* mass density: 3.45 g/cm³

---

A plane-wave DFT calculation with GGA-PBE was carried out for crystalline Sr2AlO at its relaxed geometry.

a b c (Å): 9.7281 9.7281 9.7281
angles (deg): 21.71 21.71 21.71
Sites, in units of the cell vectors:
Sr1 0.1144 0.1144 0.1144
Sr2 0.8856 0.8856 0.8856
Al1 0.0000 0.0000 0.0000
O1 0.5000 0.5000 0.5000

Output
* crystal system: trigonal
* energy relative to the lowest polymorph listed for this composition: 249.0 meV/atom
* uncorrected energy: -0.1442 Ha/atom
* mass density: 3.28 g/cm³

---

A plane-wave DFT calculation with GGA-PBE was carried out for crystalline Sr2AlO4 at its relaxed geometry.

a b c (Å): 6.8531 6.8531 6.8531
angles (deg): 147.51 147.51 46.61
Sites, in units of the cell vectors:
Sr1 0.1432 0.1432 0.0000
Sr2 0.8568 0.8568 0.0000
Al1 0.5000 0.5000 0.0000
O1 0.0000 0.5000 0.5000
O2 0.3447 0.3447 0.0000
O3 0.5000 0.0000 0.5000
O4 0.6553 0.6553 0.0000

Output
* crystal system: tetragonal
* uncorrected energy: -0.2394 Ha/atom
* mass density: 4.78 g/cm³

---

A plane-wave DFT calculation with GGA-PBE was carried out for crystalline SrAl4O7 at its relaxed geometry.

a b c (Å): 8.2065 8.2065 4.8414
angles (deg): 90.00 90.00 111.40
Sites, in units of the cell vectors:
Sr1 0.0000 0.5000 0.0000
Sr2 0.5000 0.0000 0.0000
Al1 0.0000 0.0000 0.0000
Al2 0.1305 0.8695 0.5558
Al3 0.2500 0.2500 0.5000
Al4 0.3695 0.6305 0.5558
Al5 0.5000 0.5000 0.0000
Al6 0.6305 0.3695 0.4442
Al7 0.7500 0.7500 0.5000
Al8 0.8695 0.1305 0.4442
O1 0.0730 0.2126 0.2679
O2 0.1162 0.8838 0.2011
O3 0.2126 0.0730 0.7321
O4 0.2500 0.7500 0.6756
O5 0.2874 0.4270 0.7321
O6 0.3838 0.6162 0.2011
O7 0.4270 0.2874 0.2679
O8 0.5730 0.7126 0.7321
O9 0.6162 0.3838 0.7989
O10 0.7126 0.5730 0.2679
O11 0.7500 0.2500 0.3244
O12 0.7874 0.9270 0.2679
O13 0.8838 0.1162 0.7989
O14 0.9270 0.7874 0.7321

Output
* crystal system: orthorhombic
* uncorrected energy: -0.2647 Ha/atom
* mass density: 3.36 g/cm³

---

Number 1: uncorrected formation energy -2.487 eV per atom. Number 2: uncorrected formation energy -2.622 eV per atom. Number 3: uncorrected formation energy -3.062 eV per atom. Number 4: uncorrected formation energy -0.909 eV per atom. Number 5: uncorrected formation energy -2.667 eV per atom. Number 6: uncorrected formation energy -2.923 eV per atom.